First-principles (GGA+U) data for CdSiNiO4 after structural relaxation, as listed in the Alexandria database.

Geometry as POSCAR:
```
CdSiNiO4
1.0
2.7675 -4.3813 0.0000
2.7675 4.3813 0.0000
0.0000 0.0000 6.5790
Cd Si Ni O
2 2 2 8
Cartesian
2.7675 2.8038 4.9342
2.7675 -2.8038 1.6447
2.7675 3.0014 1.6447
2.7675 -3.0014 4.9342
2.7675 0.0000 0.0000
2.7675 0.0000 3.2895
1.3349 0.3673 4.9342
2.7675 1.9986 0.3563
2.7675 1.9986 2.9332
1.3349 -0.3673 1.6447
4.2001 0.3673 4.9342
2.7675 -1.9986 3.6457
2.7675 -1.9986 6.2227
4.2001 -0.3673 1.6447
```

## Properties
The value obtained for the total energy is -5.894 eV/atom. Its space group is Cmcm (63).